VTe2F, optimized geometry, DFT PBE+U; calculated volume = 21.91 Å³/atom; total moment = 3.823 μB per cell; energy = -3.73 eV per atom
1.0
-6.679 6.678 3.248
-4.076 7.759 4.789
-4.642 8.666 1.760
V Te F
1 2 1
Cartesian
0.000 0.000 0.000
-13.936 20.911 8.868
-1.460 2.191 0.929
-7.698 11.551 4.899